{
  "formula": "SrRe2NiO8",
  "functional": "PBE+U",
  "state": "relaxed",
  "density_g_cm3": 5.5,
  "e_tot_ev_per_atom": -7.38,
  "dos_ef_per_ev_fu": 9.7,
  "lattice_angstrom": [[5.778, 0.000, 0.000], [-2.889, 5.003, 0.000], [0.000, 0.000, 6.795]],
  "species": ["Sr", "Re", "Re", "Ni", "O", "O", "O", "O", "O", "O", "O", "O"],
  "fractional_positions": [[0.000, 0.000, 0.000], [0.333, 0.667, 0.763], [0.667, 0.333, 0.237], [0.000, 0.000, 0.500], [0.159, 0.317, 0.695], [0.159, 0.841, 0.695], [0.317, 0.159, 0.305], [0.333, 0.667, 0.025], [0.667, 0.333, 0.975], [0.683, 0.841, 0.695], [0.841, 0.159, 0.305], [0.841, 0.683, 0.305]]
}